<i>
# MgAs2P PBE relaxed
# ρ: 4.13 g/cm³
# total magnetic moment: 0.00 μB per atom
data_MgAs2P
_chemical_formula_sum 'Mg2 As4 P2'
_cell_length_a 11.760
_cell_length_b 3.534
_cell_length_c 4.248
_cell_angle_alpha 90.00
_cell_angle_beta 110.88
_cell_angle_gamma 90.00
_space_group_name_H-M_alt 'C 1 m 1'
_space_group_IT_number 8
loop_
_space_group_symop_operation_xyz
'x,y,z'
'x,-y,z'
'x+1/2,y+1/2,z'
'x+1/2,-y+1/2,z'
loop_
_atom_site_label
_atom_site_type_symbol
_atom_site_fract_x
_atom_site_fract_y
_atom_site_fract_z
Mg1 Mg 0.000 0.000 0.000
As1 As 0.234 0.500 0.690
As2 As 0.478 0.000 0.480
P1 P 0.247 0.000 0.335

<ii>
# MgAs2P PBE relaxed
# ρ: 4.71 g/cm³
# total magnetic moment: 0.00 μB per atom
data_MgAs2P
_chemical_formula_sum 'Mg1 As2 P1'
_cell_length_a 4.616
_cell_length_b 4.616
_cell_length_c 3.397
_cell_angle_alpha 90.00
_cell_angle_beta 90.00
_cell_angle_gamma 90.00
_space_group_name_H-M_alt 'P 4/m m m'
_space_group_IT_number 123
_space_group_name_Hall '-P 4 2'
loop_
_atom_site_label
_atom_site_type_symbol
_atom_site_fract_x
_atom_site_fract_y
_atom_site_fract_z
Mg1 Mg 0.000 0.000 0.000
As1 As 0.000 0.500 0.500
P1 P 0.500 0.500 0.000

Of them, <ii> has the lowest stability.